(1)
{
  "formula": "Dy8Mg2Ni",
  "functional": "PBE-GGA",
  "state": "relaxed",
  "lattice_angstrom": [[8.6876, -2.7426, 0.0000], [8.6876, 2.7426, 0.0000], [-2.4820, 0.0000, 6.4665]],
  "species": ["Dy", "Dy", "Dy", "Dy", "Dy", "Dy", "Dy", "Dy", "Mg", "Mg", "Ni"],
  "fractional_positions": [[0.0141, 0.0141, 0.2760], [0.1957, 0.1957, 0.7554], [0.3570, 0.3570, 0.5699], [0.4022, 0.4022, 0.0898], [0.5978, 0.5978, 0.9102], [0.6430, 0.6430, 0.4301], [0.8043, 0.8043, 0.2446], [0.9859, 0.9859, 0.7240], [0.1836, 0.1836, 0.1985], [0.8164, 0.8164, 0.8015], [0.5000, 0.5000, 0.5000]],
  "total_magnetization_mub_per_atom": 0.000,
  "space_group": "C2/m (12)",
  "dos_at_fermi_per_ev_atom": 1.051
}

(2)
{
  "formula": "CaTaCu2",
  "functional": "PBE-GGA",
  "state": "relaxed",
  "lattice_angstrom": [[-3.5530, 3.5530, 3.2912], [3.5530, -3.5530, 3.2912], [3.5530, 3.5530, -3.2912]],
  "species": ["Ca", "Ca", "Ta", "Ta", "Cu", "Cu", "Cu", "Cu"],
  "fractional_positions": [[0.0000, 0.0000, 0.0000], [0.7500, 0.2500, 0.5000], [0.2500, 0.7500, 0.5000], [0.5000, 0.5000, 0.0000], [0.1633, 0.6250, 0.0383], [0.3750, 0.4133, 0.5383], [0.5867, 0.1250, 0.9617], [0.8750, 0.8367, 0.4617]],
  "total_magnetization_mub_per_atom": 0.000,
  "space_group": "I-42d (122)",
  "dos_at_fermi_per_ev_atom": 0.812,
  "e_above_lowest_polymorph_ev_per_atom": 0.5522
}

no.,E_form (eV/f.u.)
1,-0.279
2,2.836